Record 1
Crystalline CdOsBrCl at its relaxed geometry. Source: Alexandria via LeMat-Bulk, functional PBE-GGA.

The structure in POSCAR format:
```
CdOsBrCl
1.0
3.221 0.000 0.000
0.000 2.421 5.804
0.000 -2.421 5.804
Cd Os Br Cl
1 1 1 1
Direct
0.000 0.000 0.000 Cd
0.500 0.192 0.192 Os
0.000 0.355 0.355 Br
0.500 0.724 0.724 Cl
```

Computed properties:
- Formation energy from raw total energies: 1.2 eV per formula unit
- Total magnetization: 0.1 μB per formula unit
- Raw total energy: -3.624 eV per atom
- N(E_F): 1.9 states/eV/f.u.
- ΔE to the lowest computed polymorph: 154 meV per atom


Record 2
Crystalline CaSiOs2 at its relaxed geometry. Source: Alexandria via LeMat-Bulk, functional PBE-GGA.

The structure in POSCAR format:
```
CaSiOs2
1.0
2.891 0.000 0.000
0.000 2.891 0.000
0.000 0.000 7.979
Ca Si Os
1 1 2
Direct
0.000 0.000 0.000 Ca
0.500 0.500 0.703 Si
0.000 0.000 0.507 Os
0.500 0.500 0.294 Os
```

Computed properties:
- Formation energy from raw total energies: 0.1 eV per formula unit
- Total magnetization: 0.0 μB per formula unit
- Raw total energy: -7.443 eV per atom
- N(E_F): 1.2 states/eV/f.u.


Record 3
Crystalline Pm5ScCd3 at its relaxed geometry. Source: Alexandria via LeMat-Bulk, functional PBE-GGA.

The structure in POSCAR format:
```
Pm5ScCd3
1.0
9.351 0.000 0.000
-4.675 8.098 0.000
0.000 0.000 6.902
Pm Sc Cd
10 2 6
Direct
0.000 0.326 0.250 Pm
0.000 0.674 0.750 Pm
0.326 0.000 0.250 Pm
0.326 0.326 0.750 Pm
0.333 0.667 0.000 Pm
0.333 0.667 0.500 Pm
0.667 0.333 0.000 Pm
0.667 0.333 0.500 Pm
0.674 0.000 0.750 Pm
0.674 0.674 0.250 Pm
0.000 0.000 0.000 Sc
0.000 0.000 0.500 Sc
0.000 0.332 0.750 Cd
0.000 0.668 0.250 Cd
0.332 0.000 0.750 Cd
0.332 0.332 0.250 Cd
0.668 0.000 0.250 Cd
0.668 0.668 0.750 Cd
```

Computed properties:
- ΔH_f (0 K): -0.16 eV per atom
- Total magnetization: 0.0 μB per formula unit
- Raw total energy: -3.810 eV per atom
- N(E_F): 8.0 states/eV/f.u.


Record 4
Crystalline Np4Ti at its relaxed geometry. Source: Alexandria via LeMat-Bulk, functional PBE-GGA.

The structure in POSCAR format:
```
Np4Ti
1.0
5.111 0.000 0.000
0.000 5.111 0.000
0.000 0.000 5.111
Np Ti
4 1
Direct
0.000 0.000 0.000 Np
0.000 0.500 0.500 Np
0.500 0.000 0.500 Np
0.500 0.500 0.000 Np
0.500 0.500 0.500 Ti
```

Computed properties:
- ΔH_f (0 K): 1.35 eV per atom
- Total magnetization: 17.1 μB per formula unit
- Raw total energy: -10.584 eV per atom
- N(E_F): 24.5 states/eV/f.u.


Record 5
Crystalline Pa4Te2AsS at its relaxed geometry. Source: Alexandria via LeMat-Bulk, functional PBE-GGA.

The structure in POSCAR format:
```
Pa4Te2AsS
1.0
7.073 0.000 0.000
0.000 4.100 0.000
-2.386 0.000 7.075
Pa Te As S
4 2 1 1
Direct
0.222 0.000 0.205 Pa
0.249 0.500 0.786 Pa
0.751 0.500 0.214 Pa
0.778 0.000 0.795 Pa
0.000 0.000 0.500 Te
0.500 0.500 0.500 Te
0.500 0.000 0.000 As
0.000 0.500 0.000 S
```

Computed properties:
- Formation energy from raw total energies: -7.9 eV per formula unit
- Total magnetization: 0.0 μB per formula unit
- Raw total energy: -7.619 eV per atom
- N(E_F): 15.1 states/eV/f.u.


Record 6
Crystalline SrSi2BiW at its relaxed geometry. Source: Alexandria via LeMat-Bulk, functional PBE-GGA.

The structure in POSCAR format:
```
SrSi2BiW
1.0
5.469 0.000 0.000
0.000 5.469 0.000
0.000 0.000 5.282
Sr Si Bi W
1 2 1 1
Direct
0.000 0.000 0.000 Sr
0.000 0.500 0.500 Si
0.500 0.000 0.500 Si
0.500 0.500 0.500 Bi
0.500 0.500 0.000 W
```

Computed properties:
- Formation energy from raw total energies: 7.4 eV per formula unit
- Total magnetization: 2.7 μB per formula unit
- Raw total energy: -4.392 eV per atom
- N(E_F): 3.6 states/eV/f.u.


Record 7
Crystalline AlPSe at its relaxed geometry. Source: Alexandria via LeMat-Bulk, functional PBE-GGA.

The structure in POSCAR format:
```
AlPSe
1.0
0.000 2.530 6.788
1.775 0.000 6.788
1.775 2.530 0.000
Al P Se
1 1 1
Direct
0.000 0.000 0.000 Al
0.621 0.621 0.379 P
0.364 0.364 0.636 Se
```

Computed properties:
- Formation energy from raw total energies: 0.6 eV per formula unit
- Total magnetization: 0.0 μB per formula unit
- Raw total energy: -4.026 eV per atom
- N(E_F): 2.3 states/eV/f.u.


Record 8
Crystalline SrCu2Sb at its relaxed geometry. Source: Alexandria via LeMat-Bulk, functional PBE-GGA.

The structure in POSCAR format:
```
SrCu2Sb
1.0
2.158 1.246 5.795
-2.158 1.246 5.795
0.000 -2.492 5.795
Sr Cu Sb
1 2 1
Direct
0.000 0.000 0.000 Sr
0.470 0.470 0.470 Cu
0.798 0.798 0.798 Cu
0.198 0.198 0.198 Sb
```

Computed properties:
- Formation energy from raw total energies: -1.2 eV per formula unit
- Total magnetization: 0.0 μB per formula unit
- Raw total energy: -3.789 eV per atom
- N(E_F): 3.3 states/eV/f.u.


Record 9
Crystalline La3PmPr2Ho6 at its relaxed geometry. Source: Alexandria via LeMat-Bulk, functional PBE-GGA.

The structure in POSCAR format:
```
La3PmPr2Ho6
1.0
3.150 -5.456 0.000
3.150 5.456 0.000
-2.098 0.000 11.664
La Pm Pr Ho
3 1 2 6
Direct
0.000 0.000 0.000 La
0.333 0.667 0.000 La
0.667 0.333 0.000 La
0.500 0.500 0.500 Pm
0.167 0.833 0.500 Pr
0.833 0.167 0.500 Pr
0.084 0.417 0.252 Ho
0.250 0.250 0.748 Ho
0.417 0.084 0.252 Ho
0.583 0.916 0.748 Ho
0.750 0.750 0.252 Ho
0.916 0.583 0.748 Ho
```

Computed properties:
- ΔH_f (0 K): 0.01 eV per atom
- Total magnetization: 0.0 μB per formula unit
- Raw total energy: -4.700 eV per atom
- N(E_F): 13.8 states/eV/f.u.


Record 10
Crystalline Sr2ZrFe at its relaxed geometry. Source: Alexandria via LeMat-Bulk, functional PBE-GGA.

The structure in POSCAR format:
```
Sr2ZrFe
1.0
-1.815 2.984 5.555
1.815 -2.984 5.555
1.815 2.984 -5.555
Sr Zr Fe
2 1 1
Direct
0.000 0.000 0.000 Sr
0.689 0.189 0.500 Sr
0.313 0.813 0.500 Zr
0.457 0.457 0.000 Fe
```

Computed properties:
- ΔH_f (0 K): 0.43 eV per atom
- Total magnetization: 0.2 μB per formula unit
- Raw total energy: -4.661 eV per atom
- N(E_F): 4.2 states/eV/f.u.
- ΔE to the lowest computed polymorph: 137 meV per atom


Record 11
Crystalline PmMg4Zn2 at its relaxed geometry. Source: Alexandria via LeMat-Bulk, functional PBE-GGA.

The structure in POSCAR format:
```
PmMg4Zn2
1.0
8.279 0.000 0.000
0.000 8.279 0.000
0.000 0.000 4.509
Pm Mg Zn
2 8 4
Direct
0.000 0.000 0.000 Pm
0.500 0.500 0.500 Pm
0.090 0.338 0.500 Mg
0.162 0.590 0.000 Mg
0.338 0.090 0.500 Mg
0.410 0.838 0.000 Mg
0.590 0.162 0.000 Mg
0.662 0.910 0.500 Mg
0.838 0.410 0.000 Mg
0.910 0.662 0.500 Mg
0.219 0.781 0.500 Zn
0.281 0.281 0.000 Zn
0.719 0.719 0.000 Zn
0.781 0.219 0.500 Zn
```

Computed properties:
- ΔH_f (0 K): -0.15 eV per atom
- Total magnetization: 0.0 μB per formula unit
- Raw total energy: -2.100 eV per atom
- N(E_F): 4.5 states/eV/f.u.
- ΔE to the lowest computed polymorph: 24 meV per atom


Record 12
Crystalline Hf2TlTeOs at its relaxed geometry. Source: Alexandria via LeMat-Bulk, functional PBE-GGA.

The structure in POSCAR format:
```
Hf2TlTeOs
1.0
5.240 0.000 0.000
0.000 5.240 0.000
0.000 0.000 4.837
Hf Tl Te Os
2 1 1 1
Direct
0.000 0.500 0.000 Hf
0.500 0.000 0.000 Hf
0.000 0.000 0.500 Tl
0.500 0.500 0.000 Te
0.500 0.500 0.500 Os
```

Computed properties:
- Formation energy from raw total energies: 6.0 eV per formula unit
- Total magnetization: 0.1 μB per formula unit
- Raw total energy: -6.122 eV per atom
- N(E_F): 7.4 states/eV/f.u.